{
  "formula": "PrNd2Zn2Hg2",
  "functional": "PBE",
  "state": "optimized geometry",
  "delta_e_f_ev_per_atom": -0.31,
  "lattice_angstrom": [[-3.720, -2.936, -0.726], [-1.378, -3.023, 3.456], [-7.408, 4.425, 4.242]],
  "species": ["Pr", "Nd", "Nd", "Zn", "Zn", "Hg", "Hg"],
  "frac_coords": [[0.000, 0.000, 0.000], [0.126, 0.126, 0.622], [0.874, 0.874, 0.378], [0.742, 0.742, 0.774], [0.258, 0.258, 0.226], [0.600, 0.600, 0.199], [0.400, 0.400, 0.801]]
}